Compound: In2SbPt
Source: Alexandria
Functional: PBEsol
Structure: relaxed

Cell lengths 3.237, 3.237, 8.165 Å; angles 90.00, 90.00, 90.13 degrees
Fractional coordinates of all 4 atoms:
1 In 0.000 0.000 0.204
2 In 0.000 0.000 0.796
3 Sb 0.500 0.500 0.500
4 Pt 0.500 0.500 0.000

Calculated values
Formation energy without anion corrections, kcal/mol of atoms: -2.74
V, A^3/atom: 21.396
Total magnetic moment, μB/cell: 0.0
D(E_F), states/eV per atom: 0.413